(1)
Crystalline NpB4 at its relaxed geometry. Source: the Alexandria database, functional PBE.

Results
Spin magnetization (μB/f.u.): 3.3
Energy of formation (eV per atom): -0.4183
Calculated density (Mg/m³): 9.356
Raw total energy (eV/cell): -167.0
Polymorph energy (0 for the lowest one) (kJ per mole of atoms): 0.0

Lattice parameters (Å, degrees): 7.0638 7.0638 3.9872 90.00 90.00 90.00
With the nearest neighbours (Å) after each atom.
Sites, in units of the cell vectors:
B (0.0000, 0.0000, 0.2009)  5 B 1.60-1.76
Np (0.3121, 0.1879, 0.0000)  18 B 2.70-3.01
B (0.9610, 0.8219, 0.5000)  5 B 1.69-1.82
B (0.8219, 0.0390, 0.5000)  5 B 1.69-1.82
B (0.4130, 0.9130, 0.5000)  3 B 1.69-1.74
B (0.5870, 0.0870, 0.5000)  3 B 1.69-1.74
B (0.6781, 0.5390, 0.5000)  5 B 1.69-1.82
B (0.0000, 0.0000, 0.7991)  5 B 1.60-1.76
B (0.9130, 0.5870, 0.5000)  3 B 1.69-1.74
Np (0.6879, 0.8121, 0.0000)  18 B 2.70-3.01
B (0.0870, 0.4130, 0.5000)  3 B 1.69-1.74
Np (0.8121, 0.3121, 0.0000)  18 B 2.70-3.01
B (0.0390, 0.1781, 0.5000)  5 B 1.69-1.82
B (0.5000, 0.5000, 0.7991)  5 B 1.60-1.76
B (0.4610, 0.6781, 0.5000)  5 B 1.69-1.82
Np (0.1879, 0.6879, 0.0000)  18 B 2.70-3.01
B (0.5390, 0.3219, 0.5000)  5 B 1.69-1.82
B (0.5000, 0.5000, 0.2009)  5 B 1.60-1.76
B (0.3219, 0.4610, 0.5000)  5 B 1.69-1.82
B (0.1781, 0.9610, 0.5000)  5 B 1.69-1.82



(2)
Crystalline NpB11 at its relaxed geometry. Source: the Alexandria database, functional PBE.

Results
Spin magnetization (μB/f.u.): 3.0
Energy of formation (eV per atom): 0.6874
Calculated density (Mg/m³): 5.953
Raw total energy (eV/cell): -156.3

Lattice parameters (Å, degrees): 8.0805 6.3950 6.3951 66.47 50.82 50.82
With the nearest neighbours (Å) after each atom.
Sites, in units of the cell vectors:
B (0.9858, 0.6775, 0.9408)  3 B 1.70-1.90
B (0.3367, 0.0592, 0.6775)  3 B 1.70-1.90
B (0.6766, 0.5592, 0.1775)  3 B 1.70-1.90
B (0.7642, 0.8225, 0.5592)  3 B 1.70-1.90
B (0.6766, 0.1775, 0.5592)  3 B 1.70-1.90
Np (0.5000, 0.0000, 0.0000)  8 B 2.38
B (0.7642, 0.5592, 0.8225)  3 B 1.70-1.90
B (0.4133, 0.4408, 0.8225)  3 B 1.70-1.90
B (0.1459, 0.4408, 0.1775)  3 B 1.70-1.90
B (0.0734, 0.9408, 0.3225)  3 B 1.70-1.90
B (0.0000, 0.0000, 0.0000)  4 B 2.02
B (0.6041, 0.0592, 0.3225)  3 B 1.70-1.90
B (0.1459, 0.1775, 0.4408)  3 B 1.70-1.90
B (0.7500, 0.5000, 0.5000)  4 B 2.02
B (0.9858, 0.9408, 0.6775)  3 B 1.70-1.90
B (0.4133, 0.8225, 0.4408)  3 B 1.70-1.90
B (0.8750, 0.7500, 0.2500)  4 B 1.70
Np (0.2500, 0.5000, 0.5000)  8 B 2.38
B (0.0734, 0.3225, 0.9408)  3 B 1.70-1.90
B (0.8750, 0.2500, 0.2500)  4 B 1.70
B (0.3750, 0.7500, 0.7500)  4 B 1.70
B (0.3367, 0.6775, 0.0592)  3 B 1.70-1.90
B (0.8750, 0.2500, 0.7500)  4 B 1.70
B (0.6041, 0.3225, 0.0592)  3 B 1.70-1.90



(3)
Crystalline NpBO2 at its relaxed geometry. Source: the Alexandria database, functional PBE.

Results
Spin magnetization (μB/f.u.): 3.5
Calculated density (Mg/m³): 11.501
Raw total energy (eV/cell): -33.2

Lattice parameters (Å, degrees): 2.6717 2.6717 6.7149 78.53 78.53 60.00
With the nearest neighbours (Å) after each atom.
Sites, in units of the cell vectors:
Np (0.0000, 0.0000, 0.0000)  2 O 2.40, 6 Np 2.67
O (0.1223, 0.1223, 0.6332)  3 B 1.77
O (0.8777, 0.8777, 0.3668)  3 B 1.77
B (0.5000, 0.5000, 0.5000)  6 O 1.77



(4)
Crystalline NpBO3 at its relaxed geometry. Source: the Alexandria database, functional PBE.

Results
Spin magnetization (μB/f.u.): 3.9
Calculated density (Mg/m³): 10.756
Raw total energy (eV/cell): -43.5

Lattice parameters (Å, degrees): 3.5744 3.5744 3.5744 90.00 90.00 90.00
With the nearest neighbours (Å) after each atom.
Sites, in units of the cell vectors:
O (0.0000, 0.5000, 0.0000)  2 B 1.79
O (0.5000, 0.0000, 0.0000)  2 B 1.79
O (0.0000, 0.0000, 0.5000)  2 B 1.79
B (0.0000, 0.0000, 0.0000)  6 O 1.79
Np (0.5000, 0.5000, 0.5000)  12 O 2.53



(5)
Crystalline NpB2O6 at its relaxed geometry. Source: the Alexandria database, functional PBE.

Results
Spin magnetization (μB/f.u.): 1.0
Calculated density (Mg/m³): 5.792
Raw total energy (eV/cell): -154.8

Lattice parameters (Å, degrees): 4.6655 7.2901 7.2901 78.89 115.09 115.09
With the nearest neighbours (Å) after each atom.
Sites, in units of the cell vectors:
O (0.9213, 0.7480, 0.9745)  1 B 1.42
Np (0.2500, 0.7313, 0.2687)  4 O 1.95-2.06
O (0.5787, 0.0255, 0.2520)  1 B 1.42
O (0.0787, 0.2520, 0.0255)  1 B 1.42
O (0.5748, 0.4130, 0.8290)  1 B 1.57
O (0.4989, 0.2895, 0.3711)  2 B 1.47-1.49
O (0.9989, 0.3711, 0.2895)  2 B 1.47-1.49
O (0.0748, 0.8290, 0.4130)  1 B 1.57
O (0.5011, 0.7105, 0.6289)  2 B 1.47-1.49
O (0.9252, 0.1710, 0.5870)  1 B 1.57
B (0.2355, 0.3556, 0.2109)  4 O 1.42-1.57
B (0.2645, 0.7891, 0.6444)  4 O 1.42-1.57
B (0.7355, 0.2109, 0.3556)  4 O 1.42-1.57
O (0.4252, 0.5870, 0.1710)  1 B 1.57
B (0.7645, 0.6444, 0.7891)  4 O 1.42-1.57
Np (0.7500, 0.2687, 0.7313)  4 O 1.95-2.06
O (0.0011, 0.6289, 0.7105)  2 B 1.47-1.49
O (0.4213, 0.9745, 0.7480)  1 B 1.42



(6)
Crystalline NpBO4 at its relaxed geometry. Source: the Alexandria database, functional PBE.

Results
Spin magnetization (μB/f.u.): 2.0
Calculated density (Mg/m³): 7.085
Raw total energy (eV/cell): -53.7

Lattice parameters (Å, degrees): 5.4783 5.4783 4.5755 126.77 126.77 90.00
With the nearest neighbours (Å) after each atom.
Sites, in units of the cell vectors:
O (0.5745, 0.0821, 0.8396)  1 B 1.48
O (0.2651, 0.7575, 0.8396)  1 B 1.48
B (0.2500, 0.7500, 0.5000)  4 O 1.48
O (0.9179, 0.7349, 0.1604)  1 B 1.48
Np (0.5000, 0.5000, 0.0000)  4 O 2.07
O (0.2425, 0.4255, 0.1604)  1 B 1.48



(7)
Crystalline NpPaB2O8 at its relaxed geometry. Source: the Alexandria database, functional PBE.

Results
Spin magnetization (μB/f.u.): 2.0
Calculated density (Mg/m³): 7.814
Raw total energy (eV/cell): -109.2

Lattice parameters (Å, degrees): 5.5688 5.5688 5.5688 105.91 105.91 116.87
With the nearest neighbours (Å) after each atom.
Sites, in units of the cell vectors:
B (0.5000, 0.5000, 0.0000)  4 O 1.49
O (0.9078, 0.2318, 0.3241)  1 B 1.50
O (0.7682, 0.0922, 0.6759)  1 B 1.50
Pa (0.2500, 0.7500, 0.5000)  8 O 2.25-2.32
O (0.3410, 0.5152, 0.1742)  1 B 1.49
B (0.7500, 0.2500, 0.5000)  4 O 1.50
O (0.4163, 0.0922, 0.3241)  1 B 1.50
Np (0.0000, 0.0000, 0.0000)  8 O 2.24-2.31
O (0.9078, 0.5837, 0.6759)  1 B 1.50
O (0.3410, 0.1668, 0.8258)  1 B 1.49
O (0.8332, 0.6590, 0.1742)  1 B 1.49
O (0.4848, 0.6590, 0.8258)  1 B 1.49



(8)
Crystalline NpB2PbO6 at its relaxed geometry. Source: the Alexandria database, functional PBE.

Results
Spin magnetization (μB/f.u.): 3.0
Calculated density (Mg/m³): 7.014
Raw total energy (eV/cell): -166.2

Lattice parameters (Å, degrees): 6.4984 6.4984 6.7844 100.30 100.30 103.98
With the nearest neighbours (Å) after each atom.
Sites, in units of the cell vectors:
O (0.6983, 0.4817, 0.5978)  1 B 1.40
O (0.7791, 0.8427, 0.3836)  1 B 1.38
Pb (0.8846, 0.1154, 0.7500)  4 O 2.49-2.65
B (0.3895, 0.1205, 0.7483)  3 O 1.37-1.40
O (0.3017, 0.5183, 0.4022)  1 B 1.40
O (0.8427, 0.7791, 0.8836)  1 B 1.38
O (0.9265, 0.4416, 0.2265)  1 B 1.37
O (0.5183, 0.3017, 0.9022)  1 B 1.40
B (0.6105, 0.8795, 0.2517)  3 O 1.37-1.40
B (0.1205, 0.3895, 0.2483)  3 O 1.37-1.40
Np (0.4120, 0.5880, 0.7500)  6 O 2.20-2.46
O (0.5584, 0.0735, 0.2735)  1 B 1.37
O (0.2209, 0.1573, 0.6164)  1 B 1.38
Np (0.5880, 0.4120, 0.2500)  6 O 2.20-2.46
O (0.1573, 0.2209, 0.1164)  1 B 1.38
Pb (0.1154, 0.8846, 0.2500)  4 O 2.49-2.65
O (0.4817, 0.6983, 0.0978)  1 B 1.40
B (0.8795, 0.6105, 0.7517)  3 O 1.37-1.40
O (0.0735, 0.5584, 0.7735)  1 B 1.37
O (0.4416, 0.9265, 0.7265)  1 B 1.37



(9)
Crystalline NpBPbO6 at its relaxed geometry. Source: the Alexandria database, functional PBE.

Results
Spin magnetization (μB/f.u.): 0.0
Calculated density (Mg/m³): 7.294
Raw total energy (eV/cell): -72.3

Lattice parameters (Å, degrees): 4.6556 5.5633 5.3575 92.44 95.66 65.29
With the nearest neighbours (Å) after each atom.
Sites, in units of the cell vectors:
Pb (0.0567, 0.8880, 0.0001)  4 O 2.51-2.59
O (0.3547, 0.9837, 0.6628)  1 B 1.51
O (0.6622, 0.9835, 0.3376)  1 B 1.51
O (0.4586, 0.6385, 0.3510)  1 B 1.48
O (0.0819, 0.3630, 0.2055)  1 Np 1.84
B (0.6013, 0.7974, 0.5000)  4 O 1.48-1.51
O (0.5531, 0.3654, 0.7945)  1 Np 1.84
O (0.9025, 0.6385, 0.6485)  1 B 1.48
Np (0.3288, 0.3421, 0.5000)  2 O 1.84



(10)
Crystalline NpBPbO5 at its relaxed geometry. Source: the Alexandria database, functional PBE.

Results
Spin magnetization (μB/f.u.): 2.0
Calculated density (Mg/m³): 8.025
Raw total energy (eV/cell): -131.5

Lattice parameters (Å, degrees): 5.6880 5.6880 7.7752 104.19 104.19 105.64
With the nearest neighbours (Å) after each atom.
Sites, in units of the cell vectors:
O (0.1319, 0.7004, 0.8644)  1 B 1.52
O (0.0781, 0.9219, 0.2500)  2 Np 2.07
O (0.7611, 0.5853, 0.3815)  1 B 1.51
O (0.7004, 0.1319, 0.3644)  1 B 1.52
Np (0.0000, 0.0000, 0.0000)  6 O 2.07-2.20
Np (0.0000, 0.0000, 0.5000)  6 O 2.07-2.20
B (0.6878, 0.3122, 0.2500)  4 O 1.51-1.52
O (0.5853, 0.7611, 0.8815)  1 B 1.51
O (0.8681, 0.2996, 0.1356)  1 B 1.52
O (0.9219, 0.0781, 0.7500)  2 Np 2.07
O (0.4147, 0.2389, 0.1185)  1 B 1.51
Pb (0.3503, 0.6497, 0.2500)  5 O 2.47-2.70
O (0.2996, 0.8681, 0.6356)  1 B 1.52
O (0.2389, 0.4147, 0.6185)  1 B 1.51
Pb (0.6497, 0.3503, 0.7500)  5 O 2.47-2.70
B (0.3122, 0.6878, 0.7500)  4 O 1.51-1.52



(11)
Crystalline NpB2PbO8 at its relaxed geometry. Source: the Alexandria database, functional PBE.

Results
Spin magnetization (μB/f.u.): 1.0
Calculated density (Mg/m³): 6.797
Raw total energy (eV/cell): -93.4

Lattice parameters (Å, degrees): 4.7321 4.7321 7.0010 92.35 92.35 67.89
With the nearest neighbours (Å) after each atom.
Sites, in units of the cell vectors:
O (0.2200, 0.6866, 0.7677)  1 B 1.50
Np (0.0000, 0.0000, 0.0000)  6 O 1.96-2.17
O (0.7404, 0.7404, 0.4384)  1 B 1.44
O (0.2596, 0.2596, 0.5616)  1 B 1.44
B (0.3455, 0.3455, 0.7474)  4 O 1.44-1.50
O (0.6866, 0.2200, 0.7677)  1 B 1.50
Pb (0.0000, 0.0000, 0.5000)  2 O 2.06
O (0.2348, 0.2348, 0.9165)  1 B 1.50
B (0.6545, 0.6545, 0.2526)  4 O 1.44-1.50
O (0.7800, 0.3134, 0.2323)  1 B 1.50
O (0.7652, 0.7652, 0.0835)  1 B 1.50
O (0.3134, 0.7800, 0.2323)  1 B 1.50



(12)
Crystalline NpBPdO6 at its relaxed geometry. Source: the Alexandria database, functional PBE.

Results
Spin magnetization (μB/f.u.): 1.7
Calculated density (Mg/m³): 7.725
Raw total energy (eV/cell): -134.6

Lattice parameters (Å, degrees): 4.9977 4.9977 8.9480 90.00 90.00 120.00
With the nearest neighbours (Å) after each atom.
Sites, in units of the cell vectors:
O (0.3352, 0.9531, 0.6391)  1 B 1.74
O (0.6648, 0.0469, 0.3609)  1 B 1.74
Np (0.6667, 0.3333, 0.7500)  6 O 2.05
O (0.0469, 0.6648, 0.8609)  1 B 1.74
B (0.6667, 0.3333, 0.2500)  6 O 1.74
Pd (0.0000, 0.0000, 0.0000)  6 O 2.19
Pd (0.0000, 0.0000, 0.5000)  6 O 2.19
O (0.3821, 0.0469, 0.1391)  1 B 1.74
O (0.0469, 0.3821, 0.6391)  1 B 1.74
O (0.6648, 0.6179, 0.1391)  1 B 1.74
B (0.3333, 0.6667, 0.7500)  6 O 1.74
O (0.3821, 0.3352, 0.3609)  1 B 1.74
O (0.9531, 0.3352, 0.1391)  1 B 1.74
O (0.3352, 0.3821, 0.8609)  1 B 1.74
O (0.6179, 0.9531, 0.8609)  1 B 1.74
Np (0.3333, 0.6667, 0.2500)  6 O 2.05
O (0.6179, 0.6648, 0.6391)  1 B 1.74
O (0.9531, 0.6179, 0.3609)  1 B 1.74



Which of these has the lowest raw total energy?
NpB4